Density functional theory data (GGA+U) for a geometry-optimized ZnFe2O4 structure.

Structure (CIF):
```
data_ZnFe2O4
_chemical_formula_sum 'Zn6 Fe12 O24'
_cell_length_a 6.0041
_cell_length_b 6.0041
_cell_length_c 14.6732
_cell_angle_alpha 90.00
_cell_angle_beta 90.00
_cell_angle_gamma 120.00
_space_group_name_H-M_alt 'R 3 m'
_space_group_IT_number 160
_space_group_name_Hall 'R 3 -2"'
loop_
_atom_site_label
_atom_site_type_symbol
_atom_site_fract_x
_atom_site_fract_y
_atom_site_fract_z
Zn1 Zn 0.0000 0.0000 0.0000
Zn2 Zn 0.0000 0.0000 0.3824
Fe1 Fe 0.0000 0.0000 0.7655
Fe2 Fe 0.0050 0.5025 0.8824
O1 O 0.0000 0.0000 0.1333
O2 O 0.0000 0.0000 0.6355
O3 O 0.0199 0.5099 0.1425
O4 O 0.1813 0.3626 0.9552
```

Summary:
Electronic total energy = -41.20 eV/f.u.
Total magnetization = 1.00 μB per atom
Relative energy among the computed polymorphs = 90.6 meV/atom
Crystal system = trigonal